1.
This record from Alexandria via LeMat-Bulk describes a relaxed structure of SmHo2Th3P6. The functional is PBE-GGA.

Properties
The energy of formation from the pure elements is -1.58 eV/atom. Its space-group type is C2/m, No. 12.

a b c (Å): 7.0956 7.0956 7.0437
angles (deg): 99.68 99.68 119.92
Positions (direct):
Sm (0.0000, 0.0000, 0.0000)
Ho (0.3330, 0.6670, 0.0000)
Ho (0.6670, 0.3330, 0.0000)
Th (0.1659, 0.8341, 0.5000)
Th (0.5000, 0.5000, 0.5000)
Th (0.8341, 0.1659, 0.5000)
P (0.0815, 0.4190, 0.2446)
P (0.2564, 0.2564, 0.7563)
P (0.4190, 0.0815, 0.2446)
P (0.5810, 0.9185, 0.7554)
P (0.7436, 0.7436, 0.2437)
P (0.9185, 0.5810, 0.7554)

2.
This record from Alexandria via LeMat-Bulk describes a relaxed structure of SmHoU2P4. The functional is PBE-GGA.

Properties
The energy of formation from the pure elements is -1.28 eV/atom. Its space-group type is P2/m, No. 10.

a b c (Å): 6.8680 3.9661 6.9870
angles (deg): 90.00 109.14 90.00
Positions (direct):
Sm (0.0000, 0.0000, 0.0000)
Ho (0.5000, 0.5000, 0.0000)
U (0.0000, 0.5000, 0.5000)
U (0.5000, 0.0000, 0.5000)
P (0.2514, 0.0000, 0.7433)
P (0.2569, 0.5000, 0.2597)
P (0.7431, 0.5000, 0.7403)
P (0.7486, 0.0000, 0.2567)

3.
This record from Alexandria via LeMat-Bulk describes a relaxed structure of SmHo2ZrP4. The functional is PBE-GGA.

Properties
The energy of formation from the pure elements is -1.53 eV/atom. Its space-group type is P2/m, No. 10.

a b c (Å): 6.8277 3.9438 6.8412
angles (deg): 90.00 109.26 90.00
Positions (direct):
Sm (0.0000, 0.0000, 0.0000)
Ho (0.5000, 0.0000, 0.5000)
Ho (0.5000, 0.5000, 0.0000)
Zr (0.0000, 0.5000, 0.5000)
P (0.2425, 0.0000, 0.7376)
P (0.2495, 0.5000, 0.2607)
P (0.7505, 0.5000, 0.7393)
P (0.7575, 0.0000, 0.2624)

4.
This record from Alexandria via LeMat-Bulk describes a relaxed structure of HoSnP. The functional is PBE-GGA.

Properties
The energy of formation from the pure elements is -0.48 eV/atom. Its space-group type is P-6m2, No. 187.

a b c (Å): 3.8176 3.8176 11.7772
angles (deg): 90.00 90.00 120.00
Positions (direct):
Ho (0.0000, 0.0000, 0.1458)
Ho (0.0000, 0.0000, 0.8542)
Sn (0.6667, 0.3333, 0.3516)
Sn (0.6667, 0.3333, 0.6484)
P (0.0000, 0.0000, 0.5000)
P (0.6667, 0.3333, 0.0000)

5.
This record from Alexandria via LeMat-Bulk describes a relaxed structure of Ho4SnTe2P. The functional is PBE-GGA.

Properties
Its space-group type is P2/m, No. 10. Its uncorrected formation energy is -1.26 eV per atom.

a b c (Å): 7.3803 4.2383 7.4651
angles (deg): 90.00 109.02 90.00
Positions (direct):
Ho (0.2281, 0.0000, 0.2183)
Ho (0.2451, 0.5000, 0.7717)
Ho (0.7549, 0.5000, 0.2283)
Ho (0.7719, 0.0000, 0.7817)
Sn (0.5000, 0.0000, 0.0000)
Te (0.0000, 0.0000, 0.5000)
Te (0.5000, 0.5000, 0.5000)
P (0.0000, 0.5000, 0.0000)

6.
This record from Alexandria via LeMat-Bulk describes a relaxed structure of SrHoP. The functional is PBE-GGA.

Properties
The energy of formation from the pure elements is -0.61 eV/atom. Its space-group type is Amm2, No. 38.

a b c (Å): 13.9832 4.0471 4.0471
angles (deg): 59.99 90.00 90.00
Positions (direct):
Sr (0.1270, 0.0000, 0.0000)
Sr (0.8730, 0.0000, 0.0000)
Ho (0.3828, 0.3322, 0.3322)
Ho (0.6172, 0.3322, 0.3322)
P (0.0000, 0.3333, 0.3333)
P (0.5000, 0.9988, 0.9988)

7.
This record from Alexandria via LeMat-Bulk describes a relaxed structure of SrHoP2. The functional is PBE-GGA.

Properties
The energy of formation from the pure elements is -1.15 eV/atom. Its space-group type is R-3m, No. 166.

a b c (Å): 7.3902 7.3902 7.3902
angles (deg): 32.39 32.39 32.39
Positions (direct):
Sr (0.0000, 0.0000, 0.0000)
Ho (0.5000, 0.5000, 0.5000)
P (0.2399, 0.2399, 0.2399)
P (0.7601, 0.7601, 0.7601)

8.
This record from Alexandria via LeMat-Bulk describes a relaxed structure of Sr2HoThP4. The functional is PBE-GGA.

Properties
The energy of formation from the pure elements is -1.27 eV/atom. Its space-group type is P2/m, No. 10.

a b c (Å): 7.2427 4.2177 7.4212
angles (deg): 90.00 109.16 90.00
Positions (direct):
Sr (0.0000, 0.0000, 0.0000)
Sr (0.5000, 0.5000, 0.0000)
Ho (0.0000, 0.5000, 0.5000)
Th (0.5000, 0.0000, 0.5000)
P (0.2374, 0.0000, 0.7221)
P (0.2554, 0.5000, 0.2760)
P (0.7446, 0.5000, 0.7240)
P (0.7626, 0.0000, 0.2779)